# Pr4SmY6

Pr4SmY6 after structural relaxation (PBE, Alexandria).

a = 3.610 Å, b = 11.152 Å, c = 11.152 Å
α = 120.00°, β = 90.00°, γ = 90.00°
Atoms (fractional coordinates):
Y: 0.000 0.510 0.019
Y: 0.500 0.180 0.820
Y: 0.500 0.639 0.820
Pr: 0.500 0.833 0.667
Pr: 0.500 0.333 0.167
Pr: 0.000 0.333 0.667
Y: 0.000 0.981 0.490
Pr: 0.500 0.833 0.167
Y: 0.500 0.180 0.361
Y: 0.000 0.510 0.490
Sm: 0.000 0.000 0.000

Output
Energy relative to the elements, meV per atom: 165
Relative energy among the computed polymorphs, kcal/mol of atoms: 1.32
E_tot, eV/atom: -5.5275
DOS at the Fermi energy, states/eV per cell: 18.30